Record 1
LiFe2Se | GGA-PBE | relaxed

Values from the calculation:
Energy relative to the elements, uncorrected, eV per atom: 0.11
Symmetry: P2/m
Calculated total energy, eV per atom: -5.474

abc: 4.536 2.757 4.435
angles: 90.26 90.00 90.00
Last column: magnetic moment on the atom in μB.
Fractional coordinates of all 4 atoms:
1 Fe 0.000 0.958 0.009  2.69
2 Li 0.500 0.250 0.250  -0.04
3 Fe 0.000 0.542 0.491  2.69
4 Se 0.500 0.750 0.750  0.05

Record 2
Sr3Al2Ge4 | GGA-PBE | relaxed

Values from the calculation:
Symmetry: C2/m
Energy above the most stable polymorph in this dataset, eV/atom: 0.0612
Energy relative to the elements, eV per atom: -0.45
Calculated total energy, eV per atom: -3.892

abc: 4.341 6.430 8.891
angles: 96.16 90.00 109.73
Fractional coordinates of all 9 atoms:
1 Ge 0.298 0.596 0.964
2 Sr 0.336 0.672 0.332
3 Al 0.386 0.772 0.723
4 Ge 0.702 0.404 0.036
5 Ge 0.937 0.873 0.609
6 Sr 0.664 0.328 0.668
7 Al 0.614 0.228 0.277
8 Sr 0.000 0.000 0.000
9 Ge 0.063 0.127 0.391

Record 3
TlBr2N | GGA-PBE | relaxed

Values from the calculation:
Energy relative to the elements, uncorrected, eV per atom: 0.69
Symmetry: R-3m
Energy above the most stable polymorph in this dataset, eV/atom: 0.1185
Calculated total energy, eV per atom: -2.818

abc: 8.258 8.258 8.258
angles: 35.99 35.99 35.99
Last column: magnetic moment on the atom in μB.
Fractional coordinates of all 4 atoms:
1 Br 0.095 0.095 0.095  0.07
2 N 0.000 0.000 0.000  1.21
3 Br 0.905 0.905 0.905  0.07
4 Tl 0.500 0.500 0.500  0.01

Record 4
Ti2SbN | GGA-PBE | relaxed

Values from the calculation:
Energy relative to the elements, uncorrected, eV per atom: 0.29
Symmetry: Fm-3m
Energy above the most stable polymorph in this dataset, eV/atom: 1.3057
Calculated total energy, eV per atom: -6.768

abc: 4.448 4.448 4.448
angles: 60.00 60.00 60.00
Last column: magnetic moment on the atom in μB.
Fractional coordinates of all 4 atoms:
1 Ti 0.250 0.250 0.250  0.36
2 N 0.000 0.000 0.000  -0.02
3 Ti 0.750 0.750 0.750  0.36
4 Sb 0.500 0.500 0.500  -0.01

Number 1: total magnetization 5.352 μB/f.u.. Number 2: total magnetization 0.000 μB/f.u.. Number 3: total magnetization 2.000 μB/f.u.. Number 4: total magnetization 0.884 μB/f.u..